Entry 1:
First-principles (PBE) data for an optimized crystal structure of Ba2PrCdHg6, as listed in the Alexandria database.

Values from the calculation:
Formation enthalpy at 0 K: -0.173 eV per atom
SG: Fm-3m, No. 225
ρ: 7.5 g/cm3

abc: 8.150 8.150 8.150
angles: 60.00 60.00 90.00
Fractional positions:
Cd (0.000, 0.000, 0.000)
Hg (0.242, 0.758, 0.000)
Ba (0.250, 0.750, 0.500)
Pr (0.500, 0.500, 0.000)
Hg (0.758, 0.242, 0.000)
Hg (0.758, 0.758, 0.484)
Hg (0.242, 0.242, 0.000)
Hg (0.242, 0.242, 0.516)
Ba (0.750, 0.250, 0.500)
Hg (0.758, 0.758, 0.000)

=====

Entry 2:
First-principles (PBE) data for an optimized crystal structure of Ba2CdHgPt, as listed in the Alexandria database.

Values from the calculation:
Formation enthalpy at 0 K: -0.429 eV per atom
SG: P4/mmm, No. 123
ρ: 6.5 g/cm3

abc: 6.114 6.114 5.311
angles: 90.00 90.00 90.00
Fractional positions:
Cd (0.500, 0.500, 0.500)
Ba (0.500, 0.000, 0.000)
Pt (0.000, 0.000, 0.000)
Ba (0.000, 0.500, 0.000)
Hg (0.000, 0.000, 0.500)